# La8SmHo4

La8SmHo4 after structural relaxation (GGA-PBE, Alexandria via LeMat-Bulk).

M_tot (μB per atom): 0.00
VASP energy (eV/atom): -4.647
Fermi-level density of states (states/eV per cell): 16.03

Structure (extended XYZ):
```
13
Lattice="0.771 -7.178 0.832 4.289 4.567 3.683 -8.536 3.422 5.698" Properties=species:S:1:pos:R:3 pbc="T T T"
La 0.685 0.710 5.492
La -4.161 0.100 4.722
La -1.023 -1.426 2.960
La -4.459 -3.508 5.607
La -2.453 2.237 7.253
La -2.105 -1.001 7.628
La -1.371 1.812 2.585
La 0.983 4.318 4.606
Sm -2.123 3.994 4.690
Ho 0.000 0.000 0.000
Ho 2.145 2.283 1.841
Ho 2.530 -1.306 2.257
Ho 0.386 -3.589 0.416
```